Record 1
Pm4MgAu5 (PBE-GGA, relaxed); E_tot = -44.356 eV for the cell shown; mass density = 11.1 Mg/m³
1.0
3.6101 0.0000 0.0000
0.0000 3.6101 0.0000
0.0000 0.0000 18.3016
Pm Mg Au
4 1 5
Direct
0.0000 0.0000 0.1039
0.0000 0.0000 0.3128
0.0000 0.0000 0.6872
0.0000 0.0000 0.8961
0.0000 0.0000 0.5000
0.5000 0.5000 0.0000
0.5000 0.5000 0.2070
0.5000 0.5000 0.4143
0.5000 0.5000 0.5857
0.5000 0.5000 0.7930


Record 2
PmMgAu2 (PBE-GGA, relaxed); E_tot = -15.880 eV for the cell shown; mass density = 10.5 Mg/m³; energy above the lowest structure with this stoichiometry = 0.00 kJ per mole of atoms
1.0
2.4005 1.3859 4.4591
-2.4005 1.3859 4.4591
0.0000 -2.7719 4.4591
Pm Mg Au
1 1 2
Direct
0.0000 0.0000 0.0000
0.5000 0.5000 0.5000
0.2280 0.2280 0.2280
0.7720 0.7720 0.7720


Record 3
PmMgAu2 (PBE-GGA, relaxed); E_tot = -15.634 eV for the cell shown; mass density = 10.8 Mg/m³; energy above the lowest structure with this stoichiometry = 5.91 kJ per mole of atoms
1.0
3.5048 0.0000 0.0000
0.0000 3.5048 0.0000
0.0000 0.0000 7.0593
Pm Mg Au
1 1 2
Direct
0.0000 0.0000 0.0000
0.0000 0.0000 0.5000
0.5000 0.5000 0.2784
0.5000 0.5000 0.7216


Record 4
Pm8Mg2Au (PBE-GGA, relaxed); E_tot = -45.559 eV for the cell shown; mass density = 6.8 Mg/m³
1.0
9.2553 -2.7137 0.0000
9.2553 2.7137 0.0000
-1.8188 0.0000 6.8103
Pm Mg Au
8 2 1
Direct
0.0192 0.0192 0.2694
0.1991 0.1991 0.7826
0.3445 0.3445 0.5477
0.4065 0.4065 0.0544
0.5935 0.5935 0.9456
0.6555 0.6555 0.4523
0.8009 0.8009 0.2174
0.9808 0.9808 0.7306
0.1884 0.1884 0.2236
0.8116 0.8116 0.7764
0.5000 0.5000 0.5000


Record 5
Pm3MgAu4 (PBE-GGA, relaxed); E_tot = -34.269 eV for the cell shown; mass density = 9.8 Mg/m³; energy above the lowest structure with this stoichiometry = 8.96 kJ per mole of atoms
1.0
-1.9985 3.4934 7.5337
1.9985 -3.4934 7.5337
1.9985 3.4934 -7.5337
Pm Mg Au
3 1 4
Direct
0.0000 0.0000 0.0000
0.3015 0.8015 0.5000
0.6985 0.1985 0.5000
0.5000 0.5000 0.0000
0.0839 0.3755 0.7083
0.3328 0.6245 0.7083
0.6672 0.3755 0.2917
0.9161 0.6245 0.2917


Record 6
Pm3MgAu3 (PBE-GGA, relaxed); E_tot = -59.645 eV for the cell shown; mass density = 9.6 Mg/m³
1.0
3.9267 -5.7531 0.0000
3.9267 5.7531 0.0000
-0.9717 0.0000 8.0737
Pm Mg Au
6 2 6
Direct
0.1855 0.8145 0.0000
0.2315 0.7685 0.5000
0.3781 0.3781 0.1569
0.6219 0.6219 0.8431
0.7685 0.2315 0.5000
0.8145 0.1855 0.0000
0.2885 0.2885 0.5315
0.7115 0.7115 0.4685
0.0235 0.0235 0.2829
0.1420 0.4452 0.7832
0.4452 0.1420 0.7832
0.5548 0.8580 0.2168
0.8580 0.5548 0.2168
0.9765 0.9765 0.7171


Record 7
Pm2Mg3Au2 (PBE-GGA, relaxed); E_tot = -24.748 eV for the cell shown; mass density = 7.5 Mg/m³; energy above the lowest structure with this stoichiometry = 0.00 kJ per mole of atoms
1.0
5.1636 -2.3037 0.0000
5.1636 2.3037 0.0000
-2.8187 0.0000 7.0547
Pm Mg Au
2 3 2
Direct
0.1372 0.1372 0.2846
0.8628 0.8628 0.7154
0.3701 0.3701 0.0634
0.5000 0.5000 0.5000
0.6299 0.6299 0.9366
0.1577 0.1577 0.7083
0.8423 0.8423 0.2918


Record 8
Pm5MgAu3 (PBE-GGA, relaxed); E_tot = -78.702 eV for the cell shown; mass density = 9.2 Mg/m³
1.0
8.9871 0.0000 0.0000
-4.4935 7.7830 0.0000
0.0000 0.0000 6.9368
Pm Mg Au
10 2 6
Direct
0.0000 0.3074 0.2500
0.0000 0.6926 0.7500
0.3074 0.0000 0.2500
0.3074 0.3074 0.7500
0.3333 0.6667 0.0000
0.3333 0.6667 0.5000
0.6667 0.3333 0.0000
0.6667 0.3333 0.5000
0.6926 0.0000 0.7500
0.6926 0.6926 0.2500
0.0000 0.0000 0.0000
0.0000 0.0000 0.5000
0.0000 0.3585 0.7500
0.0000 0.6415 0.2500
0.3585 0.0000 0.7500
0.3585 0.3585 0.2500
0.6415 0.0000 0.2500
0.6415 0.6415 0.7500


Record 9
PmMg6Au12 (PBE-GGA, relaxed); E_tot = -61.359 eV for the cell shown; mass density = 11.4 Mg/m³
1.0
6.1584 3.5556 2.9454
-6.1584 3.5556 2.9454
0.0000 -7.1111 2.9454
Pm Mg Au
1 6 12
Direct
0.0000 0.0000 0.0000
0.2885 0.2885 0.6997
0.2885 0.6997 0.2885
0.3003 0.7115 0.7115
0.6997 0.2885 0.2885
0.7115 0.3003 0.7115
0.7115 0.7115 0.3003
0.1140 0.3616 0.3616
0.1161 0.5000 0.8839
0.1161 0.8839 0.5000
0.3616 0.1140 0.3616
0.3616 0.3616 0.1140
0.5000 0.1161 0.8839
0.5000 0.8839 0.1161
0.6384 0.6384 0.8860
0.6384 0.8860 0.6384
0.8839 0.1161 0.5000
0.8839 0.5000 0.1161
0.8860 0.6384 0.6384


Record 10
Pm2Mg3Au2 (PBE-GGA, relaxed); E_tot = -24.332 eV for the cell shown; mass density = 7.3 Mg/m³; energy above the lowest structure with this stoichiometry = 5.73 kJ per mole of atoms
1.0
5.3599 -2.1616 0.0000
5.3599 2.1616 0.0000
-0.7125 0.0000 7.4586
Pm Mg Au
2 3 2
Direct
0.1235 0.1235 0.3504
0.8765 0.8765 0.6496
0.1841 0.1841 0.8674
0.5000 0.5000 0.0000
0.8159 0.8159 0.1326
0.4058 0.4058 0.3433
0.5942 0.5942 0.6567


Record 11
PmMg5Au2 (PBE-GGA, relaxed); E_tot = -22.814 eV for the cell shown; mass density = 6.1 Mg/m³
1.0
-1.9934 4.2875 5.2880
1.9934 -4.2875 5.2880
1.9934 4.2875 -5.2880
Pm Mg Au
1 5 2
Direct
0.0000 0.0000 0.0000
0.1554 0.3471 0.8083
0.4612 0.6529 0.8083
0.5000 0.0000 0.5000
0.5388 0.3471 0.1917
0.8446 0.6529 0.1917
0.2312 0.7312 0.5000
0.7688 0.2688 0.5000


Record 12
PmMg11Au (PBE-GGA, relaxed); E_tot = -27.560 eV for the cell shown; mass density = 3.4 Mg/m³
1.0
2.8651 -7.2163 0.0000
2.8651 7.2163 0.0000
-2.6999 0.0000 7.1900
Pm Mg Au
1 11 1
Direct
0.0000 0.0000 0.0000
0.0000 0.0000 0.5000
0.0000 0.5000 0.0000
0.0115 0.3554 0.3577
0.2978 0.5050 0.7832
0.3554 0.0115 0.3577
0.4950 0.7022 0.2168
0.5000 0.0000 0.0000
0.5050 0.2978 0.7832
0.6446 0.9885 0.6423
0.7022 0.4950 0.2168
0.9885 0.6446 0.6423
0.5000 0.5000 0.5000


Record 13
Pm4Mg3Au (PBE-GGA, relaxed); E_tot = -29.262 eV for the cell shown; mass density = 6.4 Mg/m³
1.0
3.8248 0.0000 0.0000
0.0000 3.8248 0.0000
0.0000 0.0000 15.1633
Pm Mg Au
4 3 1
Direct
0.0000 0.0000 0.1147
0.0000 0.0000 0.3705
0.0000 0.0000 0.6295
0.0000 0.0000 0.8853
0.5000 0.5000 0.2463
0.5000 0.5000 0.5000
0.5000 0.5000 0.7537
0.5000 0.5000 0.0000


Record 14
PmPrMgAu (PBE-GGA, relaxed); E_tot = -16.142 eV for the cell shown; mass density = 7.7 Mg/m³; energy above the lowest structure with this stoichiometry = 0.00 kJ per mole of atoms
1.0
3.8202 0.0000 0.0000
0.0000 3.8202 0.0000
0.0000 0.0000 7.4657
Pm Pr Mg Au
1 1 1 1
Direct
0.0000 0.0000 0.0000
0.0000 0.0000 0.5279
0.5000 0.5000 0.2599
0.5000 0.5000 0.7758


Record 15
Pm2PrMgAu4 (PBE-GGA, relaxed); E_tot = -34.928 eV for the cell shown; mass density = 10.7 Mg/m³
1.0
2.5676 1.4824 8.4330
-2.5676 1.4824 8.4330
0.0000 -2.9648 8.4330
Pm Pr Mg Au
2 1 1 4
Direct
0.2422 0.2422 0.2422
0.7578 0.7578 0.7578
0.0000 0.0000 0.0000
0.5000 0.5000 0.5000
0.1219 0.1219 0.1219
0.3827 0.3827 0.3827
0.6173 0.6173 0.6173
0.8781 0.8781 0.8781


Record 16
PmPrMgAu (PBE-GGA, relaxed); E_tot = -15.848 eV for the cell shown; mass density = 7.7 Mg/m³; energy above the lowest structure with this stoichiometry = 7.10 kJ per mole of atoms
1.0
0.0000 3.7927 3.7927
3.7927 0.0000 3.7927
3.7927 3.7927 0.0000
Pm Pr Mg Au
1 1 1 1
Direct
0.0000 0.0000 0.0000
0.5000 0.5000 0.5000
0.7500 0.7500 0.7500
0.2500 0.2500 0.2500


Record 17
PmMgRuAu (PBE-GGA, relaxed); E_tot = -20.001 eV for the cell shown; mass density = 9.6 Mg/m³
1.0
0.0000 3.4288 3.4288
3.4288 0.0000 3.4288
3.4288 3.4288 0.0000
Pm Mg Ru Au
1 1 1 1
Direct
0.0000 0.0000 0.0000
0.5000 0.5000 0.5000
0.7500 0.7500 0.7500
0.2500 0.2500 0.2500


Record 18
PmMgScAu (PBE-GGA, relaxed); E_tot = -17.387 eV for the cell shown; mass density = 7.2 Mg/m³
1.0
0.0000 3.6245 3.6245
3.6245 0.0000 3.6245
3.6245 3.6245 0.0000
Pm Mg Sc Au
1 1 1 1
Direct
0.0000 0.0000 0.0000
0.7500 0.7500 0.7500
0.5000 0.5000 0.5000
0.2500 0.2500 0.2500


Record 19
PmMg2ScAu4 (PBE-GGA, relaxed); E_tot = -33.342 eV for the cell shown; mass density = 10.4 Mg/m³
1.0
2.4001 1.3857 8.2067
-2.4001 1.3857 8.2067
0.0000 -2.7714 8.2067
Pm Mg Sc Au
1 2 1 4
Direct
0.0000 0.0000 0.0000
0.2457 0.2457 0.2457
0.7543 0.7543 0.7543
0.5000 0.5000 0.5000
0.1290 0.1290 0.1290
0.3864 0.3864 0.3864
0.6136 0.6136 0.6136
0.8710 0.8710 0.8710


Record 20
Pm2MgSi4Au3 (PBE-GGA, relaxed); E_tot = -48.089 eV for the cell shown; mass density = 8.6 Mg/m³; ΔE_f (raw) = -5.47 eV/f.u.
1.0
4.2266 0.0000 0.0000
0.0000 4.2266 0.0000
0.0000 0.0000 10.9594
Pm Mg Si Au
2 1 4 3
Direct
0.0000 0.5000 0.2501
0.5000 0.0000 0.7499
0.0000 0.0000 0.5000
0.0000 0.0000 0.0000
0.0000 0.5000 0.6444
0.5000 0.0000 0.3556
0.5000 0.5000 0.0000
0.0000 0.5000 0.8689
0.5000 0.0000 0.1311
0.5000 0.5000 0.5000